The following is a PBEsol calculation of a geometry-optimized Co2HgAs structure, from Alexandria.

Cell and atoms, written as CIF:
```
data_Co2HgAs
_space_group_name_H-M_alt 'I -4 m 2'
_space_group_IT_number 119
_space_group_name_Hall 'I -4 -2'
_cell_length_a 3.675
_cell_length_b 3.675
_cell_length_c 8.369
_cell_angle_alpha 90.00
_cell_angle_beta 90.00
_cell_angle_gamma 90.00
loop_
_atom_site_label
_atom_site_fract_x
_atom_site_fract_y
_atom_site_fract_z
Co1 0.000 0.000 0.000
Co2 0.000 0.500 0.250
Hg1 0.000 0.000 0.500
As1 0.000 0.500 0.750
```

Total magnetization in μB/atom: 0.54
Energy of formation in kcal/mol of atoms: 10.1